A plane-wave DFT calculation with PBE-GGA was carried out for crystalline La2GeH2 at its relaxed geometry.

Output
For the density of states at the Fermi level, the calculation gives 0.378 states/eV/atom. The calculation puts the total energy at -24.70 eV for the cell shown. The spin magnetization is 0.00 μB per atom. Its space group is No. 139.

abc: 4.037 4.037 6.485
angles: 71.87 71.87 90.00
Element x y z (fractional)
H 0.750 0.250 0.500
H 0.250 0.750 0.500
Ge 0.000 0.000 0.000
La 0.362 0.362 0.277
La 0.638 0.638 0.723